(1)
Density functional theory data (PBE) for a relaxed structure of AgPCl2.

Computed properties:
The symmetry is No. 65. The calculation puts the relative energy among the computed polymorphs at 660 meV/atom.

Cell lengths 4.945, 4.945, 3.156 Å; angles 90.00, 90.00, 90.16 degrees
Sites, in units of the cell vectors:
Cl 0.500 0.500 0.000
Cl 0.000 0.000 0.000
Ag 0.000 0.500 0.500
P 0.500 0.000 0.500

=====

(2)
Density functional theory data (PBE) for a relaxed structure of AgPCl2.

Computed properties:
The symmetry is No. 119. The calculation puts the relative energy among the computed polymorphs at 520 meV/atom.

Cell lengths 7.655, 7.655, 7.655 Å; angles 151.84, 151.84, 40.24 degrees
Each line ends with the local moment (μB).
Sites, in units of the cell vectors:
Cl 0.250 0.750 0.500  0.03
Cl 0.000 0.000 0.000  0.04
Ag 0.750 0.250 0.500  0.02
P 0.500 0.500 0.000  0.49

=====

(3)
Density functional theory data (PBE) for a relaxed structure of AgP3Cl.

Computed properties:
The symmetry is No. 221. The calculation puts the relative energy among the computed polymorphs at 0 meV/atom.

Cell lengths 4.910, 4.910, 4.910 Å; angles 90.00, 90.00, 90.00 degrees
Each line ends with the local moment (μB).
Sites, in units of the cell vectors:
P 0.000 0.000 0.500  0.51
P 0.500 0.000 0.000  0.40
P 0.000 0.500 0.000  0.39
Cl 0.500 0.500 0.500  0.33
Ag 0.000 0.000 0.000  0.10

=====

(4)
Density functional theory data (PBE) for a relaxed structure of Ag3PCl.

Computed properties:
The symmetry is No. 221. The calculation puts the relative energy among the computed polymorphs at 0 meV/atom.

Cell lengths 4.833, 4.833, 4.833 Å; angles 90.00, 90.00, 90.00 degrees
Sites, in units of the cell vectors:
Ag 0.000 0.000 0.500
Ag 0.500 0.000 0.000
Ag 0.000 0.500 0.000
P 0.000 0.000 0.000
Cl 0.500 0.500 0.500

=====

(5)
Density functional theory data (PBE) for a relaxed structure of AgPCl3.

Computed properties:
The symmetry is No. 221. The calculation puts the relative energy among the computed polymorphs at 0 meV/atom.

Cell lengths 4.884, 4.884, 4.884 Å; angles 90.00, 90.00, 90.00 degrees
Sites, in units of the cell vectors:
Ag 0.500 0.500 0.500
Cl 0.000 0.500 0.000
Cl 0.000 0.000 0.500
Cl 0.500 0.000 0.000
P 0.000 0.000 0.000

=====

(6)
Density functional theory data (PBE) for a relaxed structure of AgPCl2.

Computed properties:
The symmetry is No. 166. The calculation puts the relative energy among the computed polymorphs at 293 meV/atom.

Cell lengths 8.633, 8.633, 8.633 Å; angles 23.19, 23.19, 23.19 degrees
Sites, in units of the cell vectors:
Cl 0.907 0.907 0.907
Cl 0.093 0.093 0.093
P 0.000 0.000 0.000
Ag 0.500 0.500 0.500

=====

(7)
Density functional theory data (PBE) for a relaxed structure of AgPCl2.

Computed properties:
The symmetry is No. 71. The calculation puts the relative energy among the computed polymorphs at 292 meV/atom.

Cell lengths 7.267, 7.267, 7.267 Å; angles 153.82, 142.98, 45.91 degrees
Sites, in units of the cell vectors:
P 0.750 0.250 0.500
Cl 0.891 0.891 0.000
Cl 0.609 0.609 0.000
Ag 0.250 0.750 0.500

=====

(8)
Density functional theory data (PBE) for a relaxed structure of AgPCl2.

Computed properties:
The symmetry is No. 10. The calculation puts the relative energy among the computed polymorphs at 432 meV/atom.

Cell lengths 3.988, 3.215, 6.821 Å; angles 104.05, 90.00, 90.00 degrees
Sites, in units of the cell vectors:
Cl 0.000 0.382 0.492
Cl 0.000 0.118 0.008
P 0.500 0.250 0.250
Ag 0.500 0.750 0.750

=====

(9)
Density functional theory data (PBE) for a relaxed structure of AgPCl2.

Computed properties:
The symmetry is No. 6. The calculation puts the relative energy among the computed polymorphs at 211 meV/atom.

Cell lengths 4.902, 5.054, 5.714 Å; angles 68.98, 90.00, 90.00 degrees
Each line ends with the local moment (μB).
Sites, in units of the cell vectors:
Cl 0.500 0.196 0.499  0.02
Cl 0.000 0.894 0.056  0.05
Ag 0.500 0.694 0.506  0.00
P 0.000 0.716 0.438  0.31

=====

(10)
Density functional theory data (PBE) for a relaxed structure of AgP3Cl.

Computed properties:
The symmetry is No. 221. The calculation puts the relative energy among the computed polymorphs at 96 meV/atom.

Cell lengths 4.636, 4.636, 4.636 Å; angles 90.00, 90.00, 90.00 degrees
Sites, in units of the cell vectors:
P 0.500 0.000 0.000
P 0.000 0.000 0.500
P 0.000 0.500 0.000
Cl 0.000 0.000 0.000
Ag 0.500 0.500 0.500

=====

(11)
Density functional theory data (PBE) for a relaxed structure of AgPCl3.

Computed properties:
The symmetry is No. 221. The calculation puts the relative energy among the computed polymorphs at 468 meV/atom.

Cell lengths 5.030, 5.030, 5.030 Å; angles 90.00, 90.00, 90.00 degrees
Each line ends with the local moment (μB).
Sites, in units of the cell vectors:
Ag 0.000 0.000 0.000  -0.02
P 0.500 0.500 0.500  0.93
Cl 0.000 0.000 0.500  0.00
Cl 0.500 0.000 0.000  -0.01
Cl 0.000 0.500 0.000  -0.01

=====

(12)
Density functional theory data (PBE) for a relaxed structure of AgPCl2.

Computed properties:
The symmetry is No. 47. The calculation puts the relative energy among the computed polymorphs at 503 meV/atom.

Cell lengths 3.285, 6.924, 4.065 Å; angles 90.00, 90.00, 90.00 degrees
Each line ends with the local moment (μB).
Sites, in units of the cell vectors:
Cl 0.500 0.500 0.000  0.03
Cl 0.000 0.000 0.000  0.04
Ag 0.000 0.500 0.500  0.03
P 0.500 0.000 0.500  0.32

=====

(13)
Density functional theory data (PBE) for a relaxed structure of AgPCl2.

Computed properties:
The symmetry is No. 166. The calculation puts the relative energy among the computed polymorphs at 589 meV/atom.

Cell lengths 8.568, 8.568, 8.568 Å; angles 22.26, 22.26, 22.26 degrees
Sites, in units of the cell vectors:
P 0.250 0.250 0.250
Cl 0.005 0.005 0.005
Cl 0.495 0.495 0.495
Ag 0.750 0.750 0.750

=====

(14)
Density functional theory data (PBE) for a relaxed structure of AgP2PbCl.

Computed properties:
The symmetry is No. 123. The calculation puts the relative energy among the computed polymorphs at 390 meV/atom.

Cell lengths 5.445, 5.445, 5.465 Å; angles 90.00, 90.00, 90.00 degrees
Each line ends with the local moment (μB).
Sites, in units of the cell vectors:
Pb 0.000 0.000 0.000  0.00
Ag 0.500 0.500 0.500  -0.01
P 0.000 0.500 0.000  0.46
P 0.500 0.000 0.000  0.46
Cl 0.000 0.000 0.500  0.06

=====

(15)
Density functional theory data (PBE) for a relaxed structure of AgP2PbCl.

Computed properties:
The symmetry is No. 123. The calculation puts the relative energy among the computed polymorphs at 0 meV/atom.

Cell lengths 4.748, 4.748, 5.609 Å; angles 90.00, 90.00, 90.00 degrees
Each line ends with the local moment (μB).
Sites, in units of the cell vectors:
P 0.000 0.500 0.000  0.23
P 0.500 0.000 0.000  0.23
Cl 0.000 0.000 0.500  0.06
Ag 0.000 0.000 0.000  0.07
Pb 0.500 0.500 0.500  -0.02

=====

(16)
Density functional theory data (PBE) for a relaxed structure of AgP2PdCl.

Computed properties:
The symmetry is No. 123. The calculation puts the relative energy among the computed polymorphs at 0 meV/atom.

Cell lengths 4.426, 4.426, 6.729 Å; angles 90.00, 90.00, 90.00 degrees
Sites, in units of the cell vectors:
Pd 0.000 0.000 0.000
P 0.500 0.000 0.000
P 0.000 0.500 0.000
Cl 0.000 0.000 0.500
Ag 0.500 0.500 0.500

=====

(17)
Density functional theory data (PBE) for a relaxed structure of AgP2PdCl.

Computed properties:
The symmetry is No. 123. The calculation puts the relative energy among the computed polymorphs at 517 meV/atom.

Cell lengths 4.770, 4.770, 4.987 Å; angles 90.00, 90.00, 90.00 degrees
Sites, in units of the cell vectors:
Ag 0.000 0.000 0.000
P 0.500 0.000 0.000
P 0.000 0.500 0.000
Cl 0.000 0.000 0.500
Pd 0.500 0.500 0.500

=====

(18)
Density functional theory data (PBE) for a relaxed structure of AgP2PtCl.

Computed properties:
The symmetry is No. 123. The calculation puts the relative energy among the computed polymorphs at 775 meV/atom.

Cell lengths 4.817, 4.817, 4.709 Å; angles 90.00, 90.00, 90.00 degrees
Sites, in units of the cell vectors:
Ag 0.000 0.000 0.000
Cl 0.000 0.000 0.500
P 0.000 0.500 0.000
P 0.500 0.000 0.000
Pt 0.500 0.500 0.500

=====

(19)
Density functional theory data (PBE) for a relaxed structure of AgPPtCl2.

Computed properties:
The symmetry is No. 123. The calculation puts the relative energy among the computed polymorphs at 0 meV/atom.

Cell lengths 5.174, 5.174, 4.474 Å; angles 90.00, 90.00, 90.00 degrees
Each line ends with the local moment (μB).
Sites, in units of the cell vectors:
Cl 0.000 0.500 0.000  0.02
Cl 0.500 0.000 0.000  0.02
Ag 0.500 0.500 0.500  0.01
Pt 0.000 0.000 0.000  0.04
P 0.000 0.000 0.500  0.11

=====

(20)
Density functional theory data (PBE) for a relaxed structure of AgP2PtCl.

Computed properties:
The symmetry is No. 123. The calculation puts the relative energy among the computed polymorphs at 0 meV/atom.

Cell lengths 4.422, 4.422, 7.517 Å; angles 90.00, 90.00, 90.00 degrees
Sites, in units of the cell vectors:
P 0.500 0.000 0.000
P 0.000 0.500 0.000
Cl 0.000 0.000 0.500
Pt 0.000 0.000 0.000
Ag 0.500 0.500 0.500

=====

(21)
Density functional theory data (PBE) for a relaxed structure of AgPPtCl2.

Computed properties:
The symmetry is No. 123. The calculation puts the relative energy among the computed polymorphs at 736 meV/atom.

Cell lengths 4.705, 4.705, 5.278 Å; angles 90.00, 90.00, 90.00 degrees
Each line ends with the local moment (μB).
Sites, in units of the cell vectors:
Cl 0.500 0.000 0.000  0.04
Cl 0.000 0.500 0.000  0.04
Pt 0.500 0.500 0.500  0.52
P 0.000 0.000 0.500  0.10
Ag 0.000 0.000 0.000  0.00

=====

(22)
Density functional theory data (PBE) for a relaxed structure of RbAgP2Cl.

Computed properties:
The symmetry is No. 123. The calculation puts the relative energy among the computed polymorphs at 0 meV/atom.

Cell lengths 4.771, 4.771, 6.560 Å; angles 90.00, 90.00, 90.00 degrees
Each line ends with the local moment (μB).
Sites, in units of the cell vectors:
P 0.500 0.000 0.000  0.34
P 0.000 0.500 0.000  0.34
Rb 0.500 0.500 0.500  0.00
Ag 0.000 0.000 0.000  0.10
Cl 0.000 0.000 0.500  0.09

=====

(23)
Density functional theory data (PBE) for a relaxed structure of RbAg2PCl.

Computed properties:
The symmetry is No. 123.

Cell lengths 4.703, 7.039, 4.703 Å; angles 90.00, 90.00, 90.00 degrees
Sites, in units of the cell vectors:
Cl 0.000 0.500 0.000
Ag 0.500 0.000 0.000
Ag 0.000 0.000 0.500
P 0.000 0.000 0.000
Rb 0.500 0.500 0.500

=====

(24)
Density functional theory data (PBE) for a relaxed structure of RbAgP2Cl.

Computed properties:
The symmetry is No. 123. The calculation puts the relative energy among the computed polymorphs at 1059 meV/atom.

Cell lengths 6.679, 6.679, 5.891 Å; angles 90.00, 90.00, 90.00 degrees
Each line ends with the local moment (μB).
Sites, in units of the cell vectors:
P 0.000 0.500 0.000  1.11
P 0.500 0.000 0.000  1.11
Cl 0.000 0.000 0.500  0.06
Rb 0.000 0.000 0.000  0.05
Ag 0.500 0.500 0.500  -0.14

=====

(25)
Density functional theory data (PBE) for a relaxed structure of ReAgP2Cl.

Computed properties:
The symmetry is No. 123. The calculation puts the relative energy among the computed polymorphs at 0 meV/atom.

Cell lengths 4.540, 4.540, 5.333 Å; angles 90.00, 90.00, 90.00 degrees
Sites, in units of the cell vectors:
Ag 0.500 0.500 0.500
Cl 0.000 0.000 0.500
P 0.500 0.000 0.000
P 0.000 0.500 0.000
Re 0.000 0.000 0.000

=====

(26)
Density functional theory data (PBE) for a relaxed structure of ReAgP2Cl.

Computed properties:
The symmetry is No. 123. The calculation puts the relative energy among the computed polymorphs at 1233 meV/atom.

Cell lengths 4.826, 4.826, 4.794 Å; angles 90.00, 90.00, 90.00 degrees
Each line ends with the local moment (μB).
Sites, in units of the cell vectors:
Ag 0.000 0.000 0.000  -0.02
Re 0.500 0.500 0.500  3.61
P 0.000 0.500 0.000  -0.25
P 0.500 0.000 0.000  -0.25
Cl 0.000 0.000 0.500  0.04

=====

(27)
Density functional theory data (PBE) for a relaxed structure of ReAgPCl2.

Computed properties:
The symmetry is No. 123. The calculation puts the relative energy among the computed polymorphs at 908 meV/atom.

Cell lengths 4.799, 4.799, 5.261 Å; angles 90.00, 90.00, 90.00 degrees
Each line ends with the local moment (μB).
Sites, in units of the cell vectors:
Cl 0.000 0.500 0.000  0.02
Cl 0.500 0.000 0.000  0.02
Re 0.500 0.500 0.500  4.02
Ag 0.000 0.000 0.000  -0.07
P 0.000 0.000 0.500  -0.37

=====

(28)
Density functional theory data (PBE) for a relaxed structure of ReAgPCl2.

Computed properties:
The symmetry is No. 123. The calculation puts the relative energy among the computed polymorphs at 0 meV/atom.

Cell lengths 4.955, 4.955, 4.587 Å; angles 90.00, 90.00, 90.00 degrees
Each line ends with the local moment (μB).
Sites, in units of the cell vectors:
P 0.000 0.000 0.500  -0.03
Ag 0.500 0.500 0.500  0.01
Re 0.000 0.000 0.000  1.12
Cl 0.000 0.500 0.000  0.04
Cl 0.500 0.000 0.000  0.04

=====

(29)
Density functional theory data (PBE) for a relaxed structure of AgPRhCl2.

Computed properties:
The symmetry is No. 123. The calculation puts the relative energy among the computed polymorphs at 0 meV/atom.

Cell lengths 5.072, 5.072, 4.390 Å; angles 90.00, 90.00, 90.00 degrees
Sites, in units of the cell vectors:
Rh 0.000 0.000 0.000
Cl 0.500 0.000 0.000
Cl 0.000 0.500 0.000
Ag 0.500 0.500 0.500
P 0.000 0.000 0.500

=====

In eV/f.u., the E_form (uncorrected) values for the records above are, in order, 1.72; 1.16; 6.56; 0.70; -0.09; 0.25; 0.25; 0.81; -0.07; 7.04; 2.25; 1.09; 1.44; 4.59; 2.64; 2.78; 5.37; 6.38; 1.31; 2.50; 4.99; 0.74; -1.93; 6.04; 2.33; 8.49; 6.69; 2.14; 0.75.